(1)
Below is a relaxed structure of SrMnSN2, with properties calculated at the PBE-GGA level.

Lattice parameters (Å, degrees): 3.9677 3.9677 5.1890 90.00 90.00 90.00
Closest atoms and distances in Å follow each position.
Space group P4/mmm (No. 123)
Symmetry-distinct sites (fractional):
Sr (0.0000, 0.0000, 0.0000) [1 per cell]  2 S 2.59, 4 Mn 2.81
Mn (0.5000, 0.5000, 0.0000) [1 per cell]  4 Sr 2.81
S (0.0000, 0.0000, 0.5000) [1 per cell]  4 N 1.98
N (0.0000, 0.5000, 0.5000) [2 per cell]  2 S 1.98

Values from the calculation:
* uncorrected formation energy: 2.141 eV per atom
* energy relative to the lowest polymorph listed for this composition: 2305 meV/atom
* N(E_F): 1.639 states/eV/atom

(2)
Below is a relaxed structure of Rb3SrCr2Cl9, with properties calculated at the PBE-GGA level.

Lattice parameters (Å, degrees): 7.3414 7.3414 9.2086 90.00 90.00 120.00
Closest atoms and distances in Å follow each position.
Space group P-3m1 (No. 164)
Symmetry-distinct sites (fractional):
Rb (0.0000, 0.0000, 0.0000) [1 per cell]  12 Cl 3.63-3.67
Rb (0.3333, 0.6667, 0.6926) [2 per cell]  9 Cl 3.54-3.67
Sr (0.0000, 0.0000, 0.5000) [1 per cell]  6 Cl 2.83
Cr (0.3333, 0.6667, 0.1519) [2 per cell]  6 Cl 2.48-2.54
Cl (0.0000, 0.5000, 0.0000) [3 per cell]  2 Cr 2.54
Cl (0.1754, 0.3508, 0.3108) [6 per cell]  1 Cr 2.48

Values from the calculation:
* uncorrected formation energy: -1.656 eV per atom
* N(E_F): 0.123 states/eV/atom

(3)
Below is a relaxed structure of KBiI4, with properties calculated at the PBE-GGA level.

Lattice parameters (Å, degrees): 4.5906 7.8308 8.8877 101.22 90.01 106.98
Closest atoms and distances in Å follow each position.
Space group P-1 (No. 2)
Symmetry-distinct sites (fractional):
K (0.0000, 0.0000, 0.0000) [1 per cell]  6 I 3.51-3.68
Bi (0.5000, 0.0000, 0.5000) [1 per cell]  6 I 3.09-3.16
I (0.1216, 0.2441, 0.4033) [2 per cell]  2 Bi 3.16
I (0.3771, 0.7531, 0.1762) [2 per cell]  1 Bi 3.09

Values from the calculation:
* uncorrected formation energy: -0.782 eV per atom
* energy relative to the lowest polymorph listed for this composition: 0 meV/atom
* N(E_F): 0.000 states/eV/atom

(4)
Below is a relaxed structure of CrFe2Sb, with properties calculated at the PBE-GGA level.

Lattice parameters (Å, degrees): 3.9271 3.9271 15.6306 90.00 90.00 90.00
Closest atoms and distances in Å follow each position.
Space group I-42d (No. 122)
Symmetry-distinct sites (fractional):
Cr (0.0000, 0.0000, 0.0000) [4 per cell]  4 Fe 2.31
Fe (0.1892, 0.2500, 0.1250) [8 per cell]  2 Cr 2.31, 2 Fe 2.46, 2 Sb 2.50
Sb (0.0000, 0.0000, 0.5000) [4 per cell]  4 Fe 2.50, 4 Cr 2.78

Values from the calculation:
* uncorrected formation energy: 0.722 eV per atom
* N(E_F): 0.735 states/eV/atom